# CoF4, optimized geometry, DFT GGA+U
# - Theoretical density: 2.7 Mg/m³
# - Fermi-level density of states: 0.000 states/eV per atom
# - E: -19.8 eV/f.u.
data_CoF4
_cell_length_a 5.678
_cell_length_b 5.678
_cell_length_c 10.214
_cell_angle_alpha 90.00
_cell_angle_beta 90.00
_cell_angle_gamma 90.00
_symmetry_space_group_name_H-M 'I 4/m c m'
_symmetry_Int_Tables_number 140
_symmetry_space_group_name_Hall '-I 4 2c'
loop_
_atom_site_label
_atom_site_type_symbol
_atom_site_fract_x
_atom_site_fract_y
_atom_site_fract_z
Co1 Co 0.000 0.500 0.000
F1 F 0.153 0.347 0.118